{
  "formula": "BeNbSn",
  "functional": "PBE",
  "state": "optimized geometry",
  "lattice": [[1.528, -3.791, 0.851], [-2.519, -2.982, 1.482], [-1.026, -3.253, -2.408]],
  "species": ["Sn", "Nb", "Be"],
  "frac_coords": [[0.750, 0.750, 0.750], [0.250, 0.250, 0.250], [0.000, 0.000, 0.000]],
  "total_magnetization_mub_per_cell": 0.67,
  "energy_ev_per_atom": -5.62,
  "crystal_system": "cubic"
}